No. 1
The following is a PBE calculation of crystalline PaSi3Pt3 at its relaxed geometry, from Alexandria via LeMat-Bulk.

Geometry as CIF:
```
data_PaSi3Pt3
_chemical_formula_sum 'Pa2 Si6 Pt6'
_cell_length_a 8.6325
_cell_length_b 8.6325
_cell_length_c 4.0768
_cell_angle_alpha 90.00
_cell_angle_beta 90.00
_cell_angle_gamma 120.00
_symmetry_space_group_name_H-M 'P 63/m'
_symmetry_Int_Tables_number 176
_symmetry_space_group_name_Hall '-P 6c'
loop_
_atom_site_label
_atom_site_type_symbol
_atom_site_fract_x
_atom_site_fract_y
_atom_site_fract_z
Pa1 Pa 0.3333 0.6667 0.2500
Si1 Si 0.0883 0.4111 0.7500
Pt1 Pt 0.1160 0.2706 0.2500
```

Properties
- total magnetization (Bohr magnetons per cell) = 0.0
- N(E_F) (states/eV per cell) = 7.54
- uncorrected formation energy (eV/atom) = -0.480
- ΔE to the lowest computed polymorph (meV per atom) = 0.0
- final energy (eV per atom) = -6.7498
- crystal system = hexagonal

No. 2
The following is a PBE calculation of crystalline YTaBe2 at its relaxed geometry, from Alexandria via LeMat-Bulk.

Geometry as CIF:
```
data_YTaBe2
_chemical_formula_sum 'Y3 Ta3 Be6'
_cell_length_a 3.2448
_cell_length_b 3.2448
_cell_length_c 22.6606
_cell_angle_alpha 90.00
_cell_angle_beta 90.00
_cell_angle_gamma 120.00
_symmetry_space_group_name_H-M 'R -3 m'
_symmetry_Int_Tables_number 166
_symmetry_space_group_name_Hall '-R 3 2"'
loop_
_atom_site_label
_atom_site_type_symbol
_atom_site_fract_x
_atom_site_fract_y
_atom_site_fract_z
Y1 Y 0.0000 0.0000 0.0000
Ta1 Ta 0.0000 0.0000 0.5000
Be1 Be 0.0000 0.0000 0.2408
```

Properties
- total magnetization (Bohr magnetons per cell) = 0.0
- N(E_F) (states/eV per cell) = 9.63
- ΔE to the lowest computed polymorph (meV per atom) = 367.4
- final energy (eV per atom) = -5.9685
- crystal system = trigonal
- energy of formation (eV/atom) = 0.474

No. 3
The following is a PBE calculation of crystalline Sr3ZrAs3 at its relaxed geometry, from Alexandria via LeMat-Bulk.

Geometry as CIF:
```
data_Sr3ZrAs3
_chemical_formula_sum 'Sr24 Zr8 As24'
_cell_length_a 19.2227
_cell_length_b 7.0923
_cell_length_c 12.8669
_cell_angle_alpha 90.00
_cell_angle_beta 90.00
_cell_angle_gamma 90.00
_symmetry_space_group_name_H-M 'C m c e'
_symmetry_Int_Tables_number 64
_symmetry_space_group_name_Hall '-C 2ac 2'
loop_
_atom_site_label
_atom_site_type_symbol
_atom_site_fract_x
_atom_site_fract_y
_atom_site_fract_z
Sr1 Sr 0.0000 0.1582 0.1589
Sr2 Sr 0.1762 0.1655 0.8646
Zr1 Zr 0.0863 0.0000 0.5000
As1 As 0.0000 0.2312 0.3974
As2 As 0.1612 0.2163 0.6214
```

Properties
- total magnetization (Bohr magnetons per cell) = 0.0
- N(E_F) (states/eV per cell) = 9.12
- final energy (eV per atom) = -4.9903
- crystal system = orthorhombic
- energy of formation (eV/atom) = -1.056

Which of these has the lowest N(E_F)?
PaSi3Pt3

Which value of N(E_F) does entry 1 give?
7.54 states/eV per cell